Entry 1:
Entry from the Alexandria database: LaAgW2 after structural relaxation (PBE).

Geometry as POSCAR:
```
LaAgW2
1.0
1.630 -2.443 0.000
1.630 2.443 0.000
0.000 0.000 9.981
La Ag W
1 1 2
Direct
0.000 0.000 0.000 La
0.500 0.500 0.290 Ag
0.000 0.000 0.527 W
0.500 0.500 0.727 W
```

Summary:
* space-group type: No. 35
* uncorrected energy: -7.950 eV per atom
* formation energy: 0.471 eV per atom
* size of the total moment: 0.00 Bohr magnetons per cell
* density of states at the Fermi level: 3.36 states/eV/f.u.

=====

Entry 2:
Entry from the Alexandria database: LaAgW after structural relaxation (PBE).

Geometry as POSCAR:
```
LaAgW
1.0
5.088 0.000 0.000
-2.544 4.406 0.000
0.000 0.000 2.915
La Ag W
1 1 1
Direct
0.000 0.000 0.000 La
0.333 0.667 0.500 Ag
0.667 0.333 0.500 W
```

Summary:
* space-group type: No. 187
* uncorrected energy: -6.179 eV per atom
* formation energy: 0.732 eV per atom
* size of the total moment: 0.00 Bohr magnetons per cell
* density of states at the Fermi level: 3.81 states/eV/f.u.

=====

Entry 3:
Entry from the Alexandria database: La2AgW after structural relaxation (PBE).

Geometry as POSCAR:
```
La2AgW
1.0
3.561 0.000 0.000
0.000 3.561 0.000
0.000 0.000 8.214
La Ag W
2 1 1
Direct
0.000 0.000 0.228 La
0.000 0.000 0.772 La
0.500 0.500 0.500 Ag
0.500 0.500 0.000 W
```

Summary:
* space-group type: No. 123
* uncorrected energy: -6.103 eV per atom
* formation energy: 0.311 eV per atom
* size of the total moment: 0.00 Bohr magnetons per cell
* density of states at the Fermi level: 4.82 states/eV/f.u.

=====

Entry 4:
Entry from the Alexandria database: LaAg2W after structural relaxation (PBE).

Geometry as POSCAR:
```
LaAg2W
1.0
0.000 3.530 3.530
3.530 0.000 3.530
3.530 3.530 0.000
La Ag W
1 2 1
Direct
0.000 0.000 0.000 La
0.250 0.250 0.250 Ag
0.500 0.500 0.500 Ag
0.750 0.750 0.750 W
```

Summary:
* space-group type: No. 216
* uncorrected energy: -5.174 eV per atom
* formation energy: 0.722 eV per atom
* size of the total moment: 3.02 Bohr magnetons per cell
* density of states at the Fermi level: 0.86 states/eV/f.u.

=====

Entry 5:
Entry from the Alexandria database: LaAg2W after structural relaxation (PBE).

Geometry as POSCAR:
```
LaAg2W
1.0
2.967 -4.558 0.000
2.967 4.558 0.000
0.000 0.000 2.976
La Ag W
1 2 1
Direct
0.000 0.000 0.000 La
0.000 0.500 0.500 Ag
0.500 0.000 0.500 Ag
0.500 0.500 0.000 W
```

Summary:
* space-group type: No. 65
* uncorrected energy: -5.336 eV per atom
* formation energy: 0.560 eV per atom
* size of the total moment: 0.00 Bohr magnetons per cell
* density of states at the Fermi level: 2.82 states/eV/f.u.

=====

Entry 6:
Entry from the Alexandria database: LaAg2W after structural relaxation (PBE).

Geometry as POSCAR:
```
LaAg2W
1.0
5.037 -1.462 0.000
5.037 1.462 0.000
-0.841 0.000 5.669
La Ag W
1 2 1
Direct
0.000 0.000 0.000 La
0.509 0.509 0.515 Ag
0.763 0.763 0.286 Ag
0.254 0.254 0.724 W
```

Summary:
* space-group type: No. 8
* uncorrected energy: -5.309 eV per atom
* formation energy: 0.586 eV per atom
* size of the total moment: 0.00 Bohr magnetons per cell
* density of states at the Fermi level: 3.10 states/eV/f.u.